1.
# PBE KZrTe2N, optimized geometry
data_KZrTe2N
_cell_length_a 5.889
_cell_length_b 5.889
_cell_length_c 4.453
_cell_angle_alpha 90.00
_cell_angle_beta 90.00
_cell_angle_gamma 90.00
_space_group_name_H-M_alt 'P 4/m m m'
_space_group_IT_number 123
_space_group_name_Hall '-P 4 2'
loop_
_atom_site_label
_atom_site_fract_x
_atom_site_fract_y
_atom_site_fract_z
_atom_site_occupancy
K1 0.000 0.000 0.000 1
Zr1 0.500 0.500 0.500 1
Te1 0.000 0.500 0.000 1
N1 0.000 0.000 0.500 1
# ΔE_f (raw) (eV per formula unit): 7.12
# Volume (Å³/cell): 154.44
# Relative energy among the computed polymorphs (eV/atom): 1.8387
# Size of the total moment (μB/f.u.): 3.56
# Crystal system: tetragonal

---

2.
# PBE KTh2N, optimized geometry
data_KTh2N
_cell_length_a 3.6615
_cell_length_b 3.6615
_cell_length_c 32.0531
_cell_angle_alpha 90.00
_cell_angle_beta 90.00
_cell_angle_gamma 120.00
_space_group_name_H-M_alt 'R -3 m'
_space_group_IT_number 166
_space_group_name_Hall '-R 3 2"'
loop_
_atom_site_label
_atom_site_fract_x
_atom_site_fract_y
_atom_site_fract_z
_atom_site_occupancy
K1 0.0000 0.0000 0.0000 1
Th1 0.0000 0.0000 0.1231 1
N1 0.0000 0.0000 0.5000 1
# ΔE_f (raw) (eV per formula unit): -1.48
# Volume (Å³/cell): 372.15
# Size of the total moment (μB/f.u.): 1.12
# Crystal system: trigonal

---

3.
# PBE KThN2, optimized geometry
data_KThN2
_cell_length_a 3.7261
_cell_length_b 3.7261
_cell_length_c 19.6791
_cell_angle_alpha 90.00
_cell_angle_beta 90.00
_cell_angle_gamma 120.00
_space_group_name_H-M_alt 'R -3 m'
_space_group_IT_number 166
_space_group_name_Hall '-R 3 2"'
loop_
_atom_site_label
_atom_site_fract_x
_atom_site_fract_y
_atom_site_fract_z
_atom_site_occupancy
K1 0.0000 0.0000 0.0000 1
Th1 0.0000 0.0000 0.5000 1
N1 0.0000 0.0000 0.2244 1
# ΔE_f (raw) (eV per formula unit): -2.83
# Volume (Å³/cell): 236.62
# Size of the total moment (μB/f.u.): 1.03
# Crystal system: trigonal

---

4.
# PBE K2ThW2N6, optimized geometry
data_K2ThW2N6
_cell_length_a 10.979
_cell_length_b 6.374
_cell_length_c 7.446
_cell_angle_alpha 90.00
_cell_angle_beta 122.23
_cell_angle_gamma 90.00
_space_group_name_H-M_alt 'C 1 2/m 1'
_space_group_IT_number 12
loop_
_space_group_symop_operation_xyz
'x,y,z'
'-x,-y,-z'
'-x,y,-z'
'x,-y,z'
'x+1/2,y+1/2,z'
'-x+1/2,-y+1/2,-z'
'-x+1/2,y+1/2,-z'
'x+1/2,-y+1/2,z'
loop_
_atom_site_label
_atom_site_fract_x
_atom_site_fract_y
_atom_site_fract_z
_atom_site_occupancy
K1 0.203 0.000 0.167 1
Th1 0.000 0.000 0.500 1
W1 0.044 0.500 0.216 1
N1 0.037 0.259 0.758 1
N2 0.243 0.500 0.373 1
# ΔE_f (raw) (eV per formula unit): -4.16
# Volume (Å³/cell): 440.77
# Size of the total moment (μB/f.u.): 2.04
# Crystal system: monoclinic

---

5.
# PBE KThWN4, optimized geometry
data_KThWN4
_cell_length_a 6.382
_cell_length_b 6.083
_cell_length_c 7.925
_cell_angle_alpha 90.00
_cell_angle_beta 99.40
_cell_angle_gamma 90.00
_space_group_name_H-M_alt 'P 1 21/m 1'
_space_group_IT_number 11
loop_
_space_group_symop_operation_xyz
'x,y,z'
'-x,-y,-z'
'-x,y+1/2,-z'
'x,-y+1/2,z'
loop_
_atom_site_label
_atom_site_fract_x
_atom_site_fract_y
_atom_site_fract_z
_atom_site_occupancy
K1 0.159 0.250 0.397 1
Th1 0.303 0.250 0.939 1
W1 0.213 0.750 0.151 1
N1 0.003 0.250 0.711 1
N2 0.041 0.750 0.938 1
N3 0.406 0.514 0.157 1
# ΔE_f (raw) (eV per formula unit): -4.48
# Volume (Å³/cell): 303.53
# Size of the total moment (μB/f.u.): 1.05
# Crystal system: monoclinic

---

6.
# PBE K2ThWN4, optimized geometry
data_K2ThWN4
_cell_length_a 7.142
_cell_length_b 7.720
_cell_length_c 5.965
_cell_angle_alpha 90.00
_cell_angle_beta 90.00
_cell_angle_gamma 90.00
_space_group_name_H-M_alt 'P m n 21'
_space_group_IT_number 31
loop_
_space_group_symop_operation_xyz
'x,y,z'
'-x+1/2,-y,z+1/2'
'-x,y,z'
'x+1/2,-y,z+1/2'
loop_
_atom_site_label
_atom_site_fract_x
_atom_site_fract_y
_atom_site_fract_z
_atom_site_occupancy
K1 0.244 0.144 0.000 1
Th1 0.000 0.383 0.480 1
W1 0.000 0.662 0.970 1
N1 0.000 0.437 0.095 1
N2 0.000 0.637 0.659 1
N3 0.228 0.779 0.042 1
# ΔE_f (raw) (eV per formula unit): -6.07
# Volume (Å³/cell): 328.91
# Size of the total moment (μB/f.u.): 0.00
# Crystal system: orthorhombic

---

7.
# PBE KTiN2, optimized geometry
data_KTiN2
_cell_length_a 3.7279
_cell_length_b 3.7279
_cell_length_c 21.3281
_cell_angle_alpha 90.00
_cell_angle_beta 90.00
_cell_angle_gamma 120.00
_space_group_name_H-M_alt 'R -3 m'
_space_group_IT_number 166
_space_group_name_Hall '-R 3 2"'
loop_
_atom_site_label
_atom_site_fract_x
_atom_site_fract_y
_atom_site_fract_z
_atom_site_occupancy
K1 0.0000 0.0000 0.0000 1
Ti1 0.0000 0.0000 0.5000 1
N1 0.0000 0.0000 0.4163 1
# ΔE_f (raw) (eV per formula unit): 3.28
# Volume (Å³/cell): 256.69
# Relative energy among the computed polymorphs (eV/atom): 1.4104
# Size of the total moment (μB/f.u.): 1.25
# Crystal system: trigonal

---

8.
# PBE K2Ti2N3, optimized geometry
data_K2Ti2N3
_cell_length_a 11.166
_cell_length_b 3.622
_cell_length_c 6.397
_cell_angle_alpha 90.00
_cell_angle_beta 106.02
_cell_angle_gamma 90.00
_space_group_name_H-M_alt 'C 1 2/m 1'
_space_group_IT_number 12
loop_
_space_group_symop_operation_xyz
'x,y,z'
'-x,-y,-z'
'-x,y,-z'
'x,-y,z'
'x+1/2,y+1/2,z'
'-x+1/2,-y+1/2,-z'
'-x+1/2,y+1/2,-z'
'x+1/2,-y+1/2,z'
loop_
_atom_site_label
_atom_site_fract_x
_atom_site_fract_y
_atom_site_fract_z
_atom_site_occupancy
K1 0.112 0.000 0.345 1
Ti1 0.150 0.500 0.918 1
N1 0.000 0.500 0.000 1
N2 0.198 0.000 0.828 1
# ΔE_f (raw) (eV per formula unit): -6.13
# Volume (Å³/cell): 248.68
# Size of the total moment (μB/f.u.): 1.03
# Crystal system: monoclinic